Material: Ac2Si3Au6
Method: DFT, PBE
State: optimized geometry

Results
N(E_F) in states/eV/atom: 0.4471
ΔE_f (raw) in kcal/mol of atoms: -13.13

Lattice parameters (Å, degrees): 4.482 7.868 7.868 120.00 90.00 90.00
Fractional positions:
Ac (0.000, 0.667, 0.333)
Ac (0.000, 0.333, 0.667)
Si (0.500, 0.342, 0.342)
Si (0.500, 0.658, 0.000)
Si (0.500, 0.000, 0.658)
Au (0.500, 0.666, 0.666)
Au (0.500, 0.000, 0.334)
Au (0.000, 0.208, 0.208)
Au (0.000, 0.792, 0.000)
Au (0.500, 0.334, 0.000)
Au (0.000, 0.000, 0.792)

***

Material: Cd2CoRu
Method: DFT, PBE
State: optimized geometry

Results
N(E_F) in states/eV/atom: 1.3092
ΔE_f in kJ/mol of atoms: 38.4
Distance to the lowest polymorph of the same formula in meV per atom: 196

Lattice parameters (Å, degrees): 3.985 3.975 4.135 90.00 90.00 90.00
Each line ends with the local moment (μB).
Fractional positions:
Cd (0.000, 0.000, 0.000)  -0.02
Cd (0.500, 0.500, 0.000)  -0.02
Co (0.500, 0.000, 0.500)  1.78
Ru (0.000, 0.500, 0.500)  0.99

***

Material: TbHo4Pd5
Method: DFT, PBE
State: optimized geometry

Results
N(E_F) in states/eV/atom: 0.7943
ΔE_f in kJ/mol of atoms: -85.8

Lattice parameters (Å, degrees): 3.466 3.466 17.825 90.00 90.00 90.00
Fractional positions:
Tb (0.000, 0.000, 0.000)
Ho (0.000, 0.000, 0.201)
Ho (0.000, 0.000, 0.400)
Ho (0.000, 0.000, 0.600)
Ho (0.000, 0.000, 0.799)
Pd (0.500, 0.500, 0.103)
Pd (0.500, 0.500, 0.301)
Pd (0.500, 0.500, 0.500)
Pd (0.500, 0.500, 0.699)
Pd (0.500, 0.500, 0.897)

***

Material: U2GaCl11
Method: DFT, PBE
State: optimized geometry

Results
N(E_F) in states/eV/atom: 0.0086
ΔE_f (raw) in kcal/mol of atoms: -33.95

Lattice parameters (Å, degrees): 11.991 11.027 11.027 68.54 57.07 57.07
Each line ends with the local moment (μB).
Fractional positions:
U (0.667, 0.651, 0.349)  1.17
U (0.333, 0.349, 0.651)  1.17
U (0.833, 0.151, 0.849)  1.17
U (0.167, 0.849, 0.151)  1.17
Ga (0.750, 0.750, 0.750)  0.00
Ga (0.250, 0.250, 0.250)  0.00
Cl (0.647, 0.679, 0.579)  -0.03
Cl (0.353, 0.321, 0.421)  -0.03
Cl (0.095, 0.579, 0.679)  -0.03
Cl (0.853, 0.921, 0.821)  -0.03
Cl (0.905, 0.421, 0.321)  -0.03
Cl (0.147, 0.079, 0.179)  -0.03
Cl (0.405, 0.821, 0.921)  -0.03
Cl (0.595, 0.179, 0.079)  -0.03
Cl (0.500, 0.500, 0.500)  -0.02
Cl (0.000, 0.000, 0.000)  -0.02
Cl (0.809, 0.794, 0.206)  -0.04
Cl (0.191, 0.206, 0.794)  -0.04
Cl (0.691, 0.294, 0.706)  -0.04
Cl (0.309, 0.706, 0.294)  -0.04
Cl (0.434, 0.883, 0.379)  -0.03
Cl (0.566, 0.117, 0.621)  -0.03
Cl (0.304, 0.379, 0.883)  -0.03
Cl (0.066, 0.121, 0.617)  -0.03
Cl (0.696, 0.621, 0.117)  -0.03
Cl (0.934, 0.879, 0.383)  -0.03
Cl (0.196, 0.617, 0.121)  -0.03
Cl (0.804, 0.383, 0.879)  -0.03

***

Material: Ta3TeP
Method: DFT, PBE
State: optimized geometry

Results
N(E_F) in states/eV/atom: 0.6664
ΔE_f (raw) in kcal/mol of atoms: 11.24
Distance to the lowest polymorph of the same formula in meV per atom: 0

Lattice parameters (Å, degrees): 4.658 4.658 4.658 90.00 90.00 90.00
Fractional positions:
P (0.000, 0.000, 0.000)
Te (0.500, 0.500, 0.500)
Ta (0.000, 0.500, 0.000)
Ta (0.000, 0.000, 0.500)
Ta (0.500, 0.000, 0.000)

***

Material: KPb
Method: DFT, PBE
State: optimized geometry

Results
N(E_F) in states/eV/atom: 0.3873
ΔE_f in kJ/mol of atoms: -11.9
Distance to the lowest polymorph of the same formula in meV per atom: 118

Lattice parameters (Å, degrees): 6.933 6.933 6.578 72.10 72.10 31.19
Fractional positions:
K (0.975, 0.975, 0.971)
K (0.775, 0.775, 0.612)
Pb (0.534, 0.534, 0.431)
Pb (0.216, 0.216, 0.152)

***

E for every record listed, in sequence, given in hartree per atom: -0.1684; -0.1527; -0.2124; -0.1746; -0.3063; -0.0928.
M_tot for every record listed, in sequence, given in μB per cell: 0.0; 2.7; 0.0; 4.0; 0.0; 0.0.